No. 1
An optimized crystal structure of SmPuSc2, computed with GGA-PBE.

It has space group R-3m (No. 166, hexagonal axes), with a = 3.2660 Å, b = 3.2660 Å, c = 35.0253 Å, α = 90.00°, β = 90.00° and γ = 120.00°. Symmetry generates all atoms from Sm at (0.0000, 0.0000, 0.0000), Pu at (0.0000, 0.0000, 0.5000) and Sc at (0.0000, 0.0000, 0.0927).

The volume comes out at 26.96 Å³/atom. For the formation energy, the calculation gives 245 meV per atom.


No. 2
An optimized crystal structure of Li2TiFeCl, computed with GGA-PBE.

It has space group P4/mmm (No. 123), with a = 4.875 Å, b = 4.875 Å, c = 4.114 Å, α = 90.00°, β = 90.00° and γ = 90.00°. Symmetry generates all atoms from Li at (0.000, 0.500, 0.000), Ti at (0.000, 0.000, 0.500), Fe at (0.000, 0.000, 0.000) and Cl at (0.500, 0.500, 0.500).

As for the total energy: -4.054 eV/atom. The volume comes out at 19.55 Å³/atom.


Total magnetization (μB per cell)
15.280, 0.000